Record 1
Os2PbW (PBE, optimized geometry); energy of formation from the pure elements = 0.784 eV per atom; E = -8.996 eV/atom; symmetry = P4mm; magnetic moment = 0.0 Bohr magnetons per cell
1.0
2.9498 0.0000 0.0000
0.0000 2.9498 0.0000
0.0000 0.0000 7.8666
Os Pb W
2 1 1
direct
0.0000 0.0000 0.0000
0.5000 0.5000 0.2223
0.0000 0.0000 0.4898
0.5000 0.5000 0.7778

---

Record 2
OsPbW2 (PBE, optimized geometry); energy of formation from the pure elements = 0.719 eV per atom; E = -9.492 eV/atom; symmetry = R-3m; magnetic moment = 0.0 Bohr magnetons per cell
1.0
1.4618 0.8440 9.6462
-1.4618 0.8440 9.6462
0.0000 -1.6879 9.6462
Os Pb W
1 1 2
direct
0.0000 0.0000 0.0000
0.5000 0.5000 0.5000
0.2588 0.2588 0.2588
0.7412 0.7412 0.7412

---

Record 3
Os2PbW (PBE, optimized geometry); energy of formation from the pure elements = 0.746 eV per atom; E = -9.034 eV/atom; symmetry = Pm; magnetic moment = 0.0 Bohr magnetons per cell
1.0
2.8586 0.0000 0.0000
0.0000 3.9204 0.0000
-1.4056 0.0000 6.5322
Os Pb W
2 1 1
direct
0.0000 0.0000 0.0000
0.4200 0.5000 0.8367
0.1771 0.5000 0.3326
0.8131 0.0000 0.6199